[1]
Density functional theory data (PBE+U) for crystalline NiTe2F2 at its relaxed geometry.

Unit cell a=7.533 b=7.533 c=2.954 alpha=90.00 beta=90.00 gamma=90.00
Fractional positions:
1 Ni 0.000 0.000 0.000
2 Ni 0.500 0.500 0.000
3 Te 0.205 0.295 0.500
4 Te 0.295 0.795 0.500
5 Te 0.705 0.205 0.500
6 Te 0.795 0.705 0.500
7 F 0.115 0.615 0.000
8 F 0.385 0.115 0.000
9 F 0.615 0.885 0.000
10 F 0.885 0.385 0.000

Calculated values
**Energy above the lowest structure with this stoichiometry**: 0.272 eV/atom
**Final energy**: -2.6091 eV/atom



[2]
Density functional theory data (PBE+U) for crystalline LiY2CrO5 at its relaxed geometry.

Unit cell a=6.490 b=6.490 c=5.685 alpha=90.00 beta=90.00 gamma=90.00
Fractional positions:
1 Li 0.000 0.000 0.000
2 Li 0.500 0.500 0.000
3 Y 0.178 0.322 0.500
4 Y 0.322 0.822 0.500
5 Y 0.678 0.178 0.500
6 Y 0.822 0.678 0.500
7 Cr 0.000 0.500 0.000
8 Cr 0.500 0.000 0.000
9 O 0.000 0.000 0.500
10 O 0.139 0.639 0.245
11 O 0.139 0.639 0.755
12 O 0.361 0.139 0.245
13 O 0.361 0.139 0.755
14 O 0.500 0.500 0.500
15 O 0.639 0.861 0.245
16 O 0.639 0.861 0.755
17 O 0.861 0.361 0.245
18 O 0.861 0.361 0.755

Calculated values
**Final energy**: -7.7422 eV/atom